(1)
Here is crystalline TbIn4Hg6 at its relaxed geometry from Alexandria. Energies are from PBE.

Fermi-level density of states   5.2 states/eV per cell
Space-group type   Amm2
Uncorrected energy   -1.63 eV/atom
Energy relative to the elements   -0.052 eV/atom

Unit cell a=3.384 b=9.156 c=10.579 alpha=115.64 beta=90.00 gamma=90.00
Atoms (fractional coordinates):
Tb1 0.000 0.027 0.054
In1 0.000 0.667 0.334
In2 0.500 0.186 0.372
In3 0.500 0.160 0.854
In4 0.500 0.694 0.854
Hg1 0.500 0.815 0.630
Hg2 0.500 0.813 0.176
Hg3 0.500 0.363 0.176
Hg4 0.000 0.404 0.808
Hg5 0.000 0.490 0.537
Hg6 0.000 0.048 0.537

***

(2)
Here is crystalline TbIn2HgTe4 at its relaxed geometry from Alexandria. Energies are from PBE.

Fermi-level density of states   2.2 states/eV per cell
Space-group type   P2/m
Uncorrected energy   -3.41 eV/atom

Unit cell a=4.374 b=7.820 c=8.007 alpha=69.91 beta=90.00 gamma=90.00
Atoms (fractional coordinates):
Tb1 0.000 0.500 0.500
In1 0.000 0.000 0.000
In2 0.500 0.000 0.500
Hg1 0.500 0.500 0.000
Te1 0.000 0.751 0.737
Te2 0.000 0.249 0.263
Te3 0.500 0.744 0.269
Te4 0.500 0.256 0.731

***

(3)
Here is crystalline TbThInHg at its relaxed geometry from Alexandria. Energies are from PBE.

Fermi-level density of states   4.1 states/eV per cell
Space-group type   F-43m
Uncorrected energy   -4.10 eV/atom
Energy relative to the elements   -0.331 eV/atom

Unit cell a=5.393 b=5.393 c=5.393 alpha=60.00 beta=60.00 gamma=60.00
Atoms (fractional coordinates):
Tb1 0.500 0.500 0.500
Hg1 0.750 0.750 0.750
Th1 0.000 0.000 0.000
In1 0.250 0.250 0.250

***

(4)
Here is crystalline TbTiInHg at its relaxed geometry from Alexandria. Energies are from PBE.

Fermi-level density of states   4.3 states/eV per cell
Space-group type   F-43m
Uncorrected energy   -4.07 eV/atom
Energy relative to the elements   -0.182 eV/atom

Unit cell a=5.076 b=5.076 c=5.076 alpha=60.00 beta=60.00 gamma=60.00
Atoms (fractional coordinates):
Ti1 0.500 0.500 0.500
Tb1 0.000 0.000 0.000
Hg1 0.750 0.750 0.750
In1 0.250 0.250 0.250

***

(5)
Here is crystalline Tb4TlInHg2 at its relaxed geometry from Alexandria. Energies are from PBE.

Fermi-level density of states   8.8 states/eV per cell
Space-group type   R-3m
Uncorrected energy   -3.47 eV/atom
Energy relative to the elements   -0.445 eV/atom

Unit cell a=5.329 b=5.329 c=9.230 alpha=73.22 beta=73.22 gamma=60.00
Atoms (fractional coordinates):
Tb1 0.375 0.375 0.875
Tb2 0.875 0.875 0.375
Tb3 0.125 0.125 0.625
Tb4 0.625 0.625 0.125
Tl1 0.000 0.000 0.000
In1 0.500 0.500 0.500
Hg1 0.752 0.752 0.745
Hg2 0.248 0.248 0.255

***

(6)
Here is crystalline TbTlInHg at its relaxed geometry from Alexandria. Energies are from PBE.

Fermi-level density of states   3.7 states/eV per cell
Space-group type   F-43m
Uncorrected energy   -2.71 eV/atom
Energy relative to the elements   -0.202 eV/atom

Unit cell a=5.288 b=5.288 c=5.288 alpha=60.00 beta=60.00 gamma=60.00
Atoms (fractional coordinates):
Tl1 0.000 0.000 0.000
Tb1 0.250 0.250 0.250
Hg1 0.500 0.500 0.500
In1 0.750 0.750 0.750

***

(7)
Here is crystalline TbTlInHg at its relaxed geometry from Alexandria. Energies are from PBE.

Fermi-level density of states   2.4 states/eV per cell
Space-group type   Pmmm
Uncorrected energy   -2.83 eV/atom
Energy relative to the elements   -0.324 eV/atom

Unit cell a=4.631 b=4.639 c=4.712 alpha=90.00 beta=90.00 gamma=90.00
Atoms (fractional coordinates):
Tb1 0.500 0.500 0.000
Tl1 0.000 0.000 0.000
In1 0.000 0.500 0.500
Hg1 0.500 0.000 0.500

***

(8)
Here is crystalline Tb4TlIn2Hg at its relaxed geometry from Alexandria. Energies are from PBE.

Fermi-level density of states   7.6 states/eV per cell
Space-group type   R-3m
Uncorrected energy   -3.77 eV/atom
Energy relative to the elements   -0.441 eV/atom

Unit cell a=5.344 b=5.344 c=9.248 alpha=73.21 beta=73.21 gamma=60.00
Atoms (fractional coordinates):
Tb1 0.376 0.376 0.871
Tb2 0.874 0.874 0.379
Tb3 0.126 0.126 0.621
Tb4 0.624 0.624 0.129
Tl1 0.000 0.000 0.000
In1 0.750 0.750 0.749
In2 0.250 0.250 0.251
Hg1 0.500 0.500 0.500

***

(9)
Here is crystalline Tb2TmIn2Hg2 at its relaxed geometry from Alexandria. Energies are from PBE.

Fermi-level density of states   4.0 states/eV per cell
Space-group type   R-3m
Uncorrected energy   -3.07 eV/atom
Energy relative to the elements   -0.238 eV/atom

Unit cell a=4.942 b=4.942 c=9.260 alpha=74.52 beta=74.52 gamma=60.00
Atoms (fractional coordinates):
Tb1 0.130 0.130 0.610
Tb2 0.870 0.870 0.390
Tm1 0.000 0.000 0.000
In1 0.729 0.729 0.813
In2 0.271 0.271 0.187
Hg1 0.576 0.576 0.271
Hg2 0.424 0.424 0.729

***

(10)
Here is crystalline Tb2YIn2Hg2 at its relaxed geometry from Alexandria. Energies are from PBE.

Fermi-level density of states   4.3 states/eV per cell
Space-group type   R-3m
Uncorrected energy   -3.39 eV/atom
Energy relative to the elements   -0.271 eV/atom

Unit cell a=4.940 b=4.940 c=9.344 alpha=74.67 beta=74.67 gamma=60.00
Atoms (fractional coordinates):
Tb1 0.131 0.131 0.607
Tb2 0.869 0.869 0.393
Y1 0.000 0.000 0.000
In1 0.731 0.731 0.808
In2 0.269 0.269 0.192
Hg1 0.575 0.575 0.276
Hg2 0.425 0.425 0.724

***

(11)
Here is crystalline TbYInHg at its relaxed geometry from Alexandria. Energies are from PBE.

Fermi-level density of states   4.5 states/eV per cell
Space-group type   F-43m
Uncorrected energy   -4.02 eV/atom
Energy relative to the elements   -0.485 eV/atom

Unit cell a=5.315 b=5.315 c=5.315 alpha=60.00 beta=60.00 gamma=60.00
Atoms (fractional coordinates):
Y1 0.750 0.750 0.750
Tb1 0.250 0.250 0.250
Hg1 0.500 0.500 0.500
In1 0.000 0.000 0.000

***

(12)
Here is crystalline TbZrInHg at its relaxed geometry from Alexandria. Energies are from PBE.

Fermi-level density of states   3.7 states/eV per cell
Space-group type   F-43m
Uncorrected energy   -4.34 eV/atom
Energy relative to the elements   -0.284 eV/atom

Unit cell a=5.149 b=5.149 c=5.149 alpha=60.00 beta=60.00 gamma=60.00
Atoms (fractional coordinates):
Tb1 0.500 0.500 0.500
Hg1 0.750 0.750 0.750
Zr1 0.000 0.000 0.000
In1 0.250 0.250 0.250

***

(13)
Here is crystalline InTc2Hg at its relaxed geometry from Alexandria. Energies are from PBE.

Fermi-level density of states   4.6 states/eV per cell
Space-group type   Pmmm
Uncorrected energy   -5.32 eV/atom
Energy relative to the elements   0.620 eV/atom

Unit cell a=3.198 b=4.722 c=4.679 alpha=90.00 beta=90.00 gamma=90.00
Atoms (fractional coordinates):
Hg1 0.500 0.000 0.500
In1 0.000 0.500 0.500
Tc1 0.000 0.000 0.000
Tc2 0.500 0.500 0.000

***

(14)
Here is crystalline InTc2Hg at its relaxed geometry from Alexandria. Energies are from PBE.

Fermi-level density of states   5.0 states/eV per cell
Space-group type   Immm
Uncorrected energy   -5.32 eV/atom
Energy relative to the elements   0.626 eV/atom

Unit cell a=5.527 b=5.527 c=5.527 alpha=147.02 beta=128.86 gamma=62.20
Atoms (fractional coordinates):
Hg1 0.750 0.250 0.500
In1 0.250 0.750 0.500
Tc1 0.003 0.003 0.000
Tc2 0.497 0.497 0.000

***

(15)
Here is crystalline In2TcHg at its relaxed geometry from Alexandria. Energies are from PBE.

Fermi-level density of states   2.7 states/eV per cell
Space-group type   Pmm2
Uncorrected energy   -3.66 eV/atom
Energy relative to the elements   0.373 eV/atom

Unit cell a=5.048 b=3.106 c=5.171 alpha=89.96 beta=90.00 gamma=90.00
Atoms (fractional coordinates):
Hg1 0.500 0.624 0.801
In1 0.000 0.125 0.939
In2 0.500 0.125 0.319
Tc1 0.000 0.626 0.441

***

(16)
Here is crystalline InTc3Hg at its relaxed geometry from Alexandria. Energies are from PBE.

Fermi-level density of states   3.5 states/eV per cell
Space-group type   Pm-3m
Uncorrected energy   -4.63 eV/atom
Energy relative to the elements   2.199 eV/atom

Unit cell a=5.008 b=5.008 c=5.008 alpha=90.00 beta=90.00 gamma=90.00
Atoms (fractional coordinates):
Tc1 0.000 0.500 0.000
Tc2 0.000 0.000 0.500
Tc3 0.500 0.000 0.000
Hg1 0.500 0.500 0.500
In1 0.000 0.000 0.000

***

(17)
Here is crystalline In2TcHg at its relaxed geometry from Alexandria. Energies are from PBE.

Fermi-level density of states   2.5 states/eV per cell
Space-group type   I-42d
Uncorrected energy   -3.43 eV/atom
Energy relative to the elements   0.605 eV/atom

Unit cell a=7.809 b=7.809 c=6.259 alpha=51.41 beta=51.41 gamma=90.00
Atoms (fractional coordinates):
Tc1 0.500 0.500 0.000
Tc2 0.250 0.750 0.500
Hg1 0.000 0.000 0.000
Hg2 0.750 0.250 0.500
In1 0.602 0.125 0.250
In2 0.148 0.625 0.250
In3 0.375 0.398 0.750
In4 0.875 0.852 0.750

***

(18)
Here is crystalline InTc2Hg at its relaxed geometry from Alexandria. Energies are from PBE.

Fermi-level density of states   4.0 states/eV per cell
Space-group type   Imm2
Uncorrected energy   -5.45 eV/atom
Energy relative to the elements   0.495 eV/atom

Unit cell a=5.904 b=5.904 c=5.904 alpha=151.12 beta=131.71 gamma=57.25
Atoms (fractional coordinates):
Hg1 0.516 0.516 0.000
In1 0.229 0.729 0.500
Tc1 0.975 0.975 0.000
Tc2 0.780 0.280 0.500

***

(19)
Here is crystalline InTc2Hg at its relaxed geometry from Alexandria. Energies are from PBE.

Fermi-level density of states   4.2 states/eV per cell
Space-group type   C2/m
Uncorrected energy   -5.38 eV/atom
Energy relative to the elements   0.560 eV/atom

Unit cell a=4.970 b=4.970 c=5.074 alpha=79.05 beta=79.05 gamma=35.13
Atoms (fractional coordinates):
Hg1 0.750 0.750 0.750
In1 0.250 0.250 0.250
Tc1 0.998 0.998 0.019
Tc2 0.502 0.502 0.481

***

(20)
Here is crystalline InTc2Hg at its relaxed geometry from Alexandria. Energies are from PBE.

Fermi-level density of states   4.6 states/eV per cell
Space-group type   Cmmm
Uncorrected energy   -5.29 eV/atom
Energy relative to the elements   0.651 eV/atom

Unit cell a=2.868 b=2.868 c=9.386 alpha=90.00 beta=90.00 gamma=113.10
Atoms (fractional coordinates):
Hg1 0.500 0.500 0.250
In1 0.500 0.500 0.750
Tc1 0.000 0.000 0.995
Tc2 0.000 0.000 0.505

***

no.,V (Å³/cell)
1,295.5
2,257.2
3,110.9
4,92.5
5,214.0
6,104.6
7,101.2
8,215.6
9,186.3
10,188.0
11,106.2
12,96.5
13,70.6
14,70.8
15,81.1
16,125.6
17,179.8
18,73.7
19,70.7
20,71.0